Density functional theory data (PBE+U) for MnIrF2 after structural relaxation.

a = 5.5866 Å, b = 5.5866 Å, c = 8.8413 Å
α = 90.00°, β = 90.00°, γ = 90.00°
Closest atoms and distances in Å follow each position.
Space group I-42d (No. 122)
Inequivalent atoms, fractional coordinates:
Mn: 0.0000 0.0000 0.0000 x4  4 F 2.01
Ir: 0.0000 0.0000 0.5000 x4  4 F 2.57
F: 0.1676 0.2500 0.1250 x8  2 Mn 2.01

Properties
Calculated total energy ... -5.404 eV per atom
Crystal system ... tetragonal
Excess energy over the best structure of this formula in the dataset ... 1.88 eV/f.u.
Total magnetization ... 6.9 μB/f.u.
D(E_F) ... 0.6560 states/eV per atom